A relaxed structure of CaMoSe2, computed with PBE-GGA.

extended XYZ file:
```
8
Lattice="-5.696 -1.310 -0.778 -0.755 -0.189 5.845 -4.681 5.568 2.550" Properties=species:S:1:pos:R:3 pbc="T T T"
Mo 0.000 0.000 0.000
Ca -3.225 -0.749 2.534
Se -5.883 3.625 3.453
Ca -4.330 2.315 5.464
Se -5.174 0.469 0.834
Se -9.201 2.853 6.705
Mo -6.801 1.754 2.153
Se -2.004 1.191 4.241
```

**Energy relative to the elements, uncorrected**: -501 meV/atom
**Total magnetization**: 0.0 Bohr magnetons per cell
**Relative energy among the computed polymorphs**: 0.277 eV/atom
**Space group**: I-42d
**Energy**: -43.61 eV/cell